Record 1
# BaErVN3 | the Alexandria database | GGA-PBE | optimized geometry
data_BaErVN3
_chemical_formula_sum 'Ba2 Er2 V2 N6'
_cell_length_a 6.871
_cell_length_b 6.871
_cell_length_c 7.667
_cell_angle_alpha 104.78
_cell_angle_beta 104.78
_cell_angle_gamma 32.42
_space_group_name_H-M_alt 'P 1'
_space_group_IT_number 1
loop_
_space_group_symop_operation_xyz
'x,y,z'
loop_
_atom_site_label
_atom_site_fract_x
_atom_site_fract_y
_atom_site_fract_z
Ba1 0.143 0.143 0.077
Ba2 0.857 0.857 0.923
Er1 0.156 0.156 0.572
Er2 0.844 0.844 0.428
V1 0.499 0.499 0.684
V2 0.501 0.501 0.316
N1 0.004 0.004 0.326
N2 0.342 0.342 0.642
N3 0.355 0.355 0.212
N4 0.645 0.645 0.788
N5 0.658 0.658 0.358
N6 0.996 0.996 0.674
# **Raw formation energy**: -0.9732 eV/atom
# **Space group**: C2/m (12)



Record 2
# OsPb2Br | the Alexandria database | GGA-PBE | optimized geometry
data_OsPb2Br
_chemical_formula_sum 'Os1 Pb2 Br1'
_cell_length_a 3.492
_cell_length_b 5.412
_cell_length_c 5.449
_cell_angle_alpha 90.00
_cell_angle_beta 90.00
_cell_angle_gamma 90.00
_space_group_name_H-M_alt 'P 1'
_space_group_IT_number 1
loop_
_space_group_symop_operation_xyz
'x,y,z'
loop_
_atom_site_label
_atom_site_fract_x
_atom_site_fract_y
_atom_site_fract_z
Os1 0.000 0.000 0.000
Pb1 0.000 0.000 0.500
Pb2 0.000 0.500 0.000
Br1 0.500 0.500 0.500
# **Raw formation energy**: 0.5427 eV/atom
# **Space group**: Pmmm (47)



Record 3
# La4PrNd | the Alexandria database | GGA-PBE | optimized geometry
data_La4PrNd
_chemical_formula_sum 'La8 Pr2 Nd2'
_cell_length_a 5.275
_cell_length_b 15.663
_cell_length_c 5.287
_cell_angle_alpha 90.00
_cell_angle_beta 90.00
_cell_angle_gamma 90.00
_space_group_name_H-M_alt 'P 1'
_space_group_IT_number 1
loop_
_space_group_symop_operation_xyz
'x,y,z'
loop_
_atom_site_label
_atom_site_fract_x
_atom_site_fract_y
_atom_site_fract_z
La1 0.000 0.167 0.000
La2 0.000 0.333 0.500
La3 0.000 0.667 0.500
La4 0.000 0.833 0.000
La5 0.500 0.167 0.500
La6 0.500 0.333 0.000
La7 0.500 0.667 0.000
La8 0.500 0.833 0.500
Pr1 0.000 0.000 0.500
Pr2 0.500 0.500 0.500
Nd1 0.000 0.500 0.000
Nd2 0.500 0.000 0.000
# **Space group**: Cmmm (65)
# **Energy**: -4.863 eV/atom



Record 4
# CaZrSc2 | the Alexandria database | GGA-PBE | optimized geometry
data_CaZrSc2
_chemical_formula_sum 'Ca1 Zr1 Sc2'
_cell_length_a 3.313
_cell_length_b 3.313
_cell_length_c 9.836
_cell_angle_alpha 90.00
_cell_angle_beta 90.00
_cell_angle_gamma 90.00
_space_group_name_H-M_alt 'P 1'
_space_group_IT_number 1
loop_
_space_group_symop_operation_xyz
'x,y,z'
loop_
_atom_site_label
_atom_site_fract_x
_atom_site_fract_y
_atom_site_fract_z
Ca1 0.000 0.000 0.000
Zr1 0.500 0.500 0.726
Sc1 0.000 0.000 0.516
Sc2 0.500 0.500 0.283
# **Space group**: P4mm (99)
# **Energy**: -5.630 eV/atom



Record 5
# Th2Ga3Ni4Au | the Alexandria database | GGA-PBE | optimized geometry
data_Th2Ga3Ni4Au
_chemical_formula_sum 'Th2 Ga3 Ni4 Au1'
_cell_length_a 3.999
_cell_length_b 3.999
_cell_length_c 10.922
_cell_angle_alpha 90.00
_cell_angle_beta 90.00
_cell_angle_gamma 90.00
_space_group_name_H-M_alt 'P 1'
_space_group_IT_number 1
loop_
_space_group_symop_operation_xyz
'x,y,z'
loop_
_atom_site_label
_atom_site_fract_x
_atom_site_fract_y
_atom_site_fract_z
Th1 0.000 0.500 0.250
Th2 0.500 0.000 0.750
Ga1 0.000 0.000 0.000
Ga2 0.000 0.500 0.620
Ga3 0.500 0.000 0.380
Ni1 0.000 0.000 0.500
Ni2 0.000 0.500 0.841
Ni3 0.500 0.000 0.159
Ni4 0.500 0.500 0.500
Au1 0.500 0.500 0.000
# **Space group**: P-4m2 (115)
# **Energy**: -5.564 eV/atom



Record 6
# BiTe2As | the Alexandria database | GGA-PBE | optimized geometry
data_BiTe2As
_chemical_formula_sum 'Bi4 Te8 As4'
_cell_length_a 8.607
_cell_length_b 8.607
_cell_length_c 6.340
_cell_angle_alpha 90.00
_cell_angle_beta 90.00
_cell_angle_gamma 90.00
_space_group_name_H-M_alt 'P 1'
_space_group_IT_number 1
loop_
_space_group_symop_operation_xyz
'x,y,z'
loop_
_atom_site_label
_atom_site_fract_x
_atom_site_fract_y
_atom_site_fract_z
Bi1 0.000 0.000 0.000
Bi2 0.000 0.500 0.250
Bi3 0.500 0.000 0.750
Bi4 0.500 0.500 0.500
Te1 0.235 0.250 0.625
Te2 0.250 0.735 0.875
Te3 0.250 0.765 0.375
Te4 0.265 0.250 0.125
Te5 0.735 0.750 0.125
Te6 0.750 0.235 0.375
Te7 0.750 0.265 0.875
Te8 0.765 0.750 0.625
As1 0.000 0.000 0.500
As2 0.000 0.500 0.750
As3 0.500 0.000 0.250
As4 0.500 0.500 0.000
# **Raw formation energy**: 0.1439 eV/atom
# **Space group**: I-42d (122)



Record 7
# Ca2Zn2InPt5 | the Alexandria database | GGA-PBE | optimized geometry
data_Ca2Zn2InPt5
_chemical_formula_sum 'Ca4 Zn4 In2 Pt10'
_cell_length_a 9.721
_cell_length_b 9.721
_cell_length_c 3.824
_cell_angle_alpha 90.00
_cell_angle_beta 90.00
_cell_angle_gamma 90.00
_space_group_name_H-M_alt 'P 1'
_space_group_IT_number 1
loop_
_space_group_symop_operation_xyz
'x,y,z'
loop_
_atom_site_label
_atom_site_fract_x
_atom_site_fract_y
_atom_site_fract_z
Ca1 0.175 0.325 0.000
Ca2 0.325 0.825 0.000
Ca3 0.675 0.175 0.000
Ca4 0.825 0.675 0.000
Zn1 0.123 0.623 0.000
Zn2 0.377 0.123 0.000
Zn3 0.623 0.877 0.000
Zn4 0.877 0.377 0.000
In1 0.000 0.000 0.000
In2 0.500 0.500 0.000
Pt1 0.000 0.500 0.500
Pt2 0.067 0.792 0.500
Pt3 0.208 0.067 0.500
Pt4 0.292 0.567 0.500
Pt5 0.433 0.292 0.500
Pt6 0.500 0.000 0.500
Pt7 0.567 0.708 0.500
Pt8 0.708 0.433 0.500
Pt9 0.792 0.933 0.500
Pt10 0.933 0.208 0.500
# **Space group**: P4/mbm (127)
# **Energy**: -4.682 eV/atom



Record 8
# ThCu9Ni3 | the Alexandria database | GGA-PBE | optimized geometry
data_ThCu9Ni3
_chemical_formula_sum 'Th1 Cu9 Ni3'
_cell_length_a 6.412
_cell_length_b 6.412
_cell_length_c 6.387
_cell_angle_alpha 97.77
_cell_angle_beta 97.77
_cell_angle_gamma 135.29
_space_group_name_H-M_alt 'P 1'
_space_group_IT_number 1
loop_
_space_group_symop_operation_xyz
'x,y,z'
loop_
_atom_site_label
_atom_site_fract_x
_atom_site_fract_y
_atom_site_fract_z
Th1 0.000 0.000 0.000
Cu1 0.018 0.661 0.648
Cu2 0.277 0.503 0.776
Cu3 0.339 0.982 0.352
Cu4 0.497 0.723 0.224
Cu5 0.500 0.500 0.500
Cu6 0.503 0.277 0.776
Cu7 0.661 0.018 0.648
Cu8 0.723 0.497 0.224
Cu9 0.982 0.339 0.352
Ni1 0.000 0.000 0.500
Ni2 0.000 0.500 0.000
Ni3 0.500 0.000 0.000
# **Space group**: C2/m (12)
# **Energy**: -4.850 eV/atom



Calculated density? In order: 7.1, 11.0, 6.4, 3.4, 10.5, 7.6, 12.0, 9.4 Mg/m³.